Record 1
DFT (PBE) results for a geometry-optimized Rb2Na6HgPb structure.

As for the crystal system: cubic. The total energy comes out at -1.43 eV/atom. Its calculated formation energy is -0.40 eV per formula unit. As for the mass density: 2.62 g/cm³.

Unit cell a=8.6272 b=8.6272 c=8.6272 alpha=60.00 beta=60.00 gamma=90.00
Sites, in units of the cell vectors:
Na: 0.2461 0.2461 0.0000
Pb: 0.5000 0.5000 0.0000
Rb: 0.2500 0.7500 0.5000
Na: 0.7539 0.7539 0.4922
Rb: 0.7500 0.2500 0.5000
Na: 0.2461 0.7539 0.0000
Na: 0.2461 0.2461 0.5078
Na: 0.7539 0.7539 0.0000
Na: 0.7539 0.2461 0.0000
Hg: 0.0000 0.0000 0.0000



Record 2
DFT (PBE) results for a geometry-optimized NaHg2RhPb structure.

As for the crystal system: tetragonal. The total energy comes out at -2.62 eV/atom. Its calculated formation energy is -0.11 eV per formula unit. As for the mass density: 8.33 g/cm³.

Unit cell a=5.3348 b=5.3348 c=5.1451 alpha=90.00 beta=90.00 gamma=90.00
Sites, in units of the cell vectors:
Hg: 0.5000 0.0000 0.0000
Pb: 0.0000 0.0000 0.5000
Na: 0.5000 0.5000 0.5000
Rh: 0.0000 0.0000 0.0000
Hg: 0.0000 0.5000 0.0000



Record 3
DFT (PBE) results for a geometry-optimized NaHgRhPb2 structure.

As for the crystal system: tetragonal. The total energy comes out at -3.26 eV/atom. Its calculated formation energy is 0.07 eV per formula unit. As for the mass density: 8.19 g/cm³.

Unit cell a=5.2089 b=5.2089 c=5.5372 alpha=90.00 beta=90.00 gamma=90.00
Sites, in units of the cell vectors:
Rh: 0.0000 0.0000 0.0000
Pb: 0.5000 0.0000 0.0000
Pb: 0.0000 0.5000 0.0000
Hg: 0.5000 0.5000 0.5000
Na: 0.0000 0.0000 0.5000



Record 4
DFT (PBE) results for a geometry-optimized NaHgRhPb2 structure.

As for the crystal system: tetragonal. The total energy comes out at -3.26 eV/atom. Its calculated formation energy is 0.07 eV per formula unit. As for the mass density: 8.21 g/cm³.

Unit cell a=5.2835 b=5.2835 c=5.3678 alpha=90.00 beta=90.00 gamma=90.00
Sites, in units of the cell vectors:
Na: 0.5000 0.5000 0.5000
Rh: 0.0000 0.0000 0.0000
Pb: 0.5000 0.0000 0.0000
Hg: 0.0000 0.0000 0.5000
Pb: 0.0000 0.5000 0.0000



| no. | magnetization (μB/atom) |
| --- | --- |
| 1 | 0.000 |
| 2 | 0.000 |
| 3 | 0.000 |
| 4 | 0.000 |